Entry P
# GaHg3Pd (GGA-PBE, relaxed)
data_GaHg3Pd
_chemical_formula_sum 'Ga1 Hg3 Pd1'
_symmetry_space_group_name_H-M 'P 1'
_symmetry_Int_Tables_number 1
_cell_length_a 5.1527
_cell_length_b 5.1527
_cell_length_c 5.1527
_cell_angle_alpha 90.00
_cell_angle_beta 90.00
_cell_angle_gamma 90.00
loop_
_symmetry_equiv_pos_as_xyz
'x,y,z'
loop_
_atom_site_label
_atom_site_type_symbol
_atom_site_fract_x
_atom_site_fract_y
_atom_site_fract_z
Ga1 Ga 0.0000 0.0000 0.0000
Hg1 Hg 0.0000 0.0000 0.5000
Hg2 Hg 0.0000 0.5000 0.0000
Hg3 Hg 0.5000 0.0000 0.0000
Pd1 Pd 0.5000 0.5000 0.5000
# symmetry: Pm-3m, No. 221
# crystal system: cubic
# magnetization: 0.00 μB/cell
# mass density: 9.44 g cm⁻³


Entry Q
# GaHg3Pd (GGA-PBE, relaxed)
data_GaHg3Pd
_chemical_formula_sum 'Ga1 Hg3 Pd1'
_symmetry_space_group_name_H-M 'P 1'
_symmetry_Int_Tables_number 1
_cell_length_a 5.2737
_cell_length_b 5.2737
_cell_length_c 5.2737
_cell_angle_alpha 90.00
_cell_angle_beta 90.00
_cell_angle_gamma 90.00
loop_
_symmetry_equiv_pos_as_xyz
'x,y,z'
loop_
_atom_site_label
_atom_site_type_symbol
_atom_site_fract_x
_atom_site_fract_y
_atom_site_fract_z
Ga1 Ga 0.0000 0.0000 0.0000
Hg1 Hg 0.0000 0.5000 0.5000
Hg2 Hg 0.5000 0.0000 0.5000
Hg3 Hg 0.5000 0.5000 0.0000
Pd1 Pd 0.5000 0.5000 0.5000
# symmetry: Pm-3m, No. 221
# crystal system: cubic
# magnetization: 0.00 μB/cell
# mass density: 8.81 g cm⁻³


Computed relative energies in units of kJ/mol of atoms: entry P 32.5; entry Q 0.0


Entry P
# GaHgPd (GGA-PBE, relaxed)
data_GaHgPd
_chemical_formula_sum 'Ga1 Hg1 Pd1'
_symmetry_space_group_name_H-M 'P 1'
_symmetry_Int_Tables_number 1
_cell_length_a 4.4685
_cell_length_b 4.4685
_cell_length_c 3.1610
_cell_angle_alpha 90.00
_cell_angle_beta 90.00
_cell_angle_gamma 120.00
loop_
_symmetry_equiv_pos_as_xyz
'x,y,z'
loop_
_atom_site_label
_atom_site_type_symbol
_atom_site_fract_x
_atom_site_fract_y
_atom_site_fract_z
Ga1 Ga 0.0000 0.0000 0.0000
Hg1 Hg 0.6667 0.3333 0.5011
Pd1 Pd 0.3333 0.6667 0.0022
# symmetry: P3m1, No. 156
# crystal system: trigonal
# magnetization: 0.00 μB/cell
# mass density: 11.44 g cm⁻³


Entry Q
# GaHgPd (GGA-PBE, relaxed)
data_GaHgPd
_chemical_formula_sum 'Ga4 Hg4 Pd4'
_symmetry_space_group_name_H-M 'P 1'
_symmetry_Int_Tables_number 1
_cell_length_a 12.7908
_cell_length_b 3.1832
_cell_length_c 5.5048
_cell_angle_alpha 90.00
_cell_angle_beta 90.00
_cell_angle_gamma 90.00
loop_
_symmetry_equiv_pos_as_xyz
'x,y,z'
loop_
_atom_site_label
_atom_site_type_symbol
_atom_site_fract_x
_atom_site_fract_y
_atom_site_fract_z
Ga1 Ga 0.1849 0.0000 0.0000
Ga2 Ga 0.1849 0.5000 0.5000
Ga3 Ga 0.8151 0.0000 0.0000
Ga4 Ga 0.8151 0.5000 0.5000
Hg1 Hg 0.0000 0.0000 0.6730
Hg2 Hg 0.0000 0.5000 0.1730
Hg3 Hg 0.5000 0.0000 0.9998
Hg4 Hg 0.5000 0.5000 0.4998
Pd1 Pd 0.3231 0.0000 0.6661
Pd2 Pd 0.3231 0.5000 0.1661
Pd3 Pd 0.6769 0.0000 0.6661
Pd4 Pd 0.6769 0.5000 0.1661
# symmetry: Amm2, No. 38
# crystal system: orthorhombic
# magnetization: 0.00 μB/cell
# mass density: 11.16 g cm⁻³


Computed relative energies in units of kJ/mol of atoms: entry P 1.3; entry Q 0.0